1.
Here is a relaxed structure of AcPuGe2 from the Alexandria database. Energies are from PBE.

Calculated values
ρ: 10.0 g/cm3
total energy: -7.3412 eV per atom

Cell lengths 3.5143, 3.5143, 8.3029 Å; angles 90.00, 90.00, 90.00 degrees
With the nearest neighbours (Å) after each atom.
Positions (direct):
Ge: 0.0000 0.0000 0.7673  4 Pu 3.15, 4 Ac 3.33, 4 Ge 3.51
Pu: 0.5000 0.5000 0.0000  8 Ge 3.15, 4 Pu 3.51
Ge: 0.0000 0.0000 0.2327  4 Pu 3.15, 4 Ac 3.33, 4 Ge 3.51
Ac: 0.5000 0.5000 0.5000  8 Ge 3.33, 4 Ac 3.51

2.
Here is a relaxed structure of AcPuGe2 from the Alexandria database. Energies are from PBE.

Calculated values
ρ: 9.5 g/cm3
total energy: -7.4233 eV per atom

Cell lengths 4.1430, 8.9558, 11.5722 Å; angles 90.00, 90.00, 90.00 degrees
With the nearest neighbours (Å) after each atom.
Positions (direct):
Pu: 0.2500 0.4893 0.0985  5 Ge 2.92-3.13, 2 Pu 3.09
Ac: 0.2500 0.1313 0.8572  8 Ge 3.28-3.63
Ac: 0.7500 0.8687 0.1428  8 Ge 3.28-3.63
Pu: 0.2500 0.9893 0.4015  5 Ge 2.92-3.13, 2 Pu 3.09
Ge: 0.7500 0.2421 0.0594  2 Ge 2.64
Ge: 0.2500 0.1578 0.1854  2 Ge 2.64, 1 Pu 2.92
Ge: 0.7500 0.7421 0.4406  2 Ge 2.64
Ge: 0.2500 0.7579 0.9406  2 Ge 2.64
Ge: 0.2500 0.2579 0.5594  2 Ge 2.64
Ge: 0.7500 0.3422 0.6854  2 Ge 2.64, 1 Pu 2.92
Pu: 0.7500 0.0107 0.5985  5 Ge 2.92-3.13, 2 Pu 3.09
Ac: 0.7500 0.3687 0.3572  8 Ge 3.28-3.63
Pu: 0.7500 0.5107 0.9015  5 Ge 2.92-3.13, 2 Pu 3.09
Ge: 0.2500 0.6578 0.3146  2 Ge 2.64, 1 Pu 2.92
Ge: 0.7500 0.8422 0.8146  2 Ge 2.64, 1 Pu 2.92
Ac: 0.2500 0.6313 0.6428  8 Ge 3.28-3.63

3.
Here is a relaxed structure of Ac3PuGe3 from the Alexandria database. Energies are from PBE.

Calculated values
ρ: 8.2 g/cm3
total energy: -6.2058 eV per atom

Cell lengths 7.8284, 7.8284, 8.2411 Å; angles 92.55, 92.55, 113.32 degrees
With the nearest neighbours (Å) after each atom.
Positions (direct):
Ge: 0.1454 0.4813 0.2950  1 Pu 2.80, 1 Ac 3.12
Ge: 0.8546 0.5187 0.7050  1 Pu 2.80, 1 Ac 3.12
Ge: 0.4813 0.1454 0.2950  1 Pu 2.80, 1 Ac 3.12
Pu: 0.2466 0.2466 0.0909  4 Ge 2.80-2.87
Ac: 0.2292 0.7708 0.0000  6 Ge 3.31-3.57
Ge: 0.5187 0.8546 0.7050  1 Pu 2.80, 1 Ac 3.12
Ge: 0.9454 0.9454 0.2102  2 Pu 2.85-2.87, 1 Ac 3.11
Ac: 0.8340 0.1660 0.5000  6 Ge 3.12-3.30
Ge: 0.0546 0.0546 0.7898  2 Pu 2.85-2.87, 1 Ac 3.11
Ac: 0.3858 0.3858 0.6646  3 Ge 3.11-3.39, 1 Ac 3.48
Ac: 0.7708 0.2292 0.0000  6 Ge 3.31-3.57
Ac: 0.1660 0.8340 0.5000  6 Ge 3.12-3.30
Ac: 0.6142 0.6142 0.3354  3 Ge 3.11-3.39, 1 Ac 3.48
Pu: 0.7534 0.7534 0.9091  4 Ge 2.80-2.87

4.
Here is a relaxed structure of AcPu2Ge3 from the Alexandria database. Energies are from PBE.

Calculated values
ρ: 9.6 g/cm3
total energy: -8.1480 eV per atom

Cell lengths 4.7624, 4.7624, 16.4891 Å; angles 90.00, 90.00, 120.00 degrees
With the nearest neighbours (Å) after each atom.
Positions (direct):
Pu: 0.6667 0.3333 0.4349  6 Ge 2.95-3.01
Ge: 0.3333 0.6667 0.1391  4 Pu 3.01-3.37, 3 Ac 3.30
Pu: 0.6667 0.3333 0.0651  6 Ge 2.95-3.01
Ge: 0.6667 0.3333 0.8609  4 Pu 3.01-3.37, 3 Ac 3.30
Ac: 0.0000 0.0000 0.7500  6 Ge 3.30
Pu: 0.3333 0.6667 0.5651  6 Ge 2.95-3.01
Ge: 0.0000 0.0000 0.5000  6 Pu 2.95
Ge: 0.3333 0.6667 0.3609  4 Pu 3.01-3.37, 3 Ac 3.30
Ge: 0.6667 0.3333 0.6391  4 Pu 3.01-3.37, 3 Ac 3.30
Pu: 0.3333 0.6667 0.9349  6 Ge 2.95-3.01
Ge: 0.0000 0.0000 0.0000  6 Pu 2.95
Ac: 0.0000 0.0000 0.2500  6 Ge 3.30

5.
Here is a relaxed structure of AcPuGe3 from the Alexandria database. Energies are from PBE.

Calculated values
ρ: 9.0 g/cm3
total energy: -6.9794 eV per atom

Cell lengths 4.1415, 4.4442, 13.9361 Å; angles 99.17, 90.00, 90.00 degrees
With the nearest neighbours (Å) after each atom.
Positions (direct):
Pu: 0.7500 0.2061 0.4122  7 Ge 3.00-3.10
Ge: 0.2500 0.3723 0.7447  3 Ge 2.60-2.77
Ac: 0.7500 0.9244 0.8489  10 Ge 3.32-3.59
Pu: 0.2500 0.7939 0.5878  7 Ge 3.00-3.10
Ge: 0.7500 0.5271 0.0541  3 Ge 2.55-2.77
Ge: 0.2500 0.4729 0.9459  3 Ge 2.55-2.77
Ac: 0.2500 0.0756 0.1511  10 Ge 3.32-3.59
Ge: 0.7500 0.6277 0.2553  3 Ge 2.60-2.77
Ge: 0.2500 0.6847 0.3695  2 Ge 2.60
Ge: 0.7500 0.3153 0.6305  2 Ge 2.60

6.
Here is a relaxed structure of AcPu5Ge6 from the Alexandria database. Energies are from PBE.

Calculated values
ρ: 11.2 g/cm3
total energy: -9.0018 eV per atom

Cell lengths 9.5159, 4.7559, 7.5198 Å; angles 71.60, 80.92, 60.01 degrees
With the nearest neighbours (Å) after each atom.
Positions (direct):
Pu: 0.0000 0.6757 0.6491  8 Ge 3.04-3.30, 2 Pu 3.19
Pu: 0.5000 0.1659 0.6693  8 Ge 3.07-3.11, 4 Pu 3.35-3.39
Ge: 0.7433 0.0846 0.3433  7 Pu 3.04-3.18, 1 Ac 3.24, 2 Ge 3.26-3.27
Ge: 0.2601 0.2399 0.0000  6 Pu 3.08-3.30, 2 Ac 3.20, 4 Ge 3.41-3.42
Ge: 0.7433 0.4288 0.6567  7 Pu 3.04-3.18, 1 Ac 3.24, 2 Ge 3.26-3.27
Ge: 0.2567 0.9154 0.6567  7 Pu 3.04-3.18, 1 Ac 3.24, 2 Ge 3.26-3.27
Ge: 0.7399 0.7601 0.0000  6 Pu 3.08-3.30, 2 Ac 3.20, 4 Ge 3.41-3.42
Pu: 0.5000 0.8341 0.3307  8 Ge 3.07-3.11, 4 Pu 3.35-3.39
Ge: 0.2567 0.5712 0.3433  7 Pu 3.04-3.18, 1 Ac 3.24, 2 Ge 3.26-3.27
Ac: 0.0000 0.0000 0.0000  8 Ge 3.20-3.24, 4 Pu 3.45
Pu: 0.5000 0.5000 0.0000  8 Ge 3.09-3.17, 4 Pu 3.35
Pu: 0.0000 0.3243 0.3509  8 Ge 3.04-3.30, 2 Pu 3.19

7.
Here is a relaxed structure of AcPu2Ge from the Alexandria database. Energies are from PBE.

Calculated values
ρ: 11.9 g/cm3
energy above the lowest structure with this stoichiometry: 0.0 meV/atom
total energy: -9.4842 eV per atom

Cell lengths 5.0752, 4.6601, 4.6601 Å; angles 90.00, 90.00, 90.00 degrees
With the nearest neighbours (Å) after each atom.
Positions (direct):
Pu: 0.0000 0.5000 0.0000  4 Pu 3.30, 4 Ge 3.45, 4 Ac 3.45
Ac: 0.5000 0.0000 0.0000  4 Ge 3.30, 8 Pu 3.45
Pu: 0.0000 0.0000 0.5000  4 Pu 3.30, 4 Ge 3.45, 4 Ac 3.45
Ge: 0.5000 0.5000 0.5000  4 Ac 3.30, 8 Pu 3.45

8.
Here is a relaxed structure of AcPu2Ge from the Alexandria database. Energies are from PBE.

Calculated values
ρ: 11.7 g/cm3
energy above the lowest structure with this stoichiometry: 7.7 meV/atom
total energy: -9.4765 eV per atom

Cell lengths 3.8871, 3.8871, 7.3994 Å; angles 90.00, 90.00, 90.00 degrees
With the nearest neighbours (Å) after each atom.
Positions (direct):
Ge: 0.5000 0.5000 0.0000  8 Pu 3.08
Ac: 0.5000 0.5000 0.5000  8 Pu 3.58, 2 Ge 3.70, 4 Ac 3.89
Pu: 0.0000 0.0000 0.8110  1 Pu 2.80, 4 Ge 3.08
Pu: 0.0000 0.0000 0.1890  1 Pu 2.80, 4 Ge 3.08

9.
Here is a relaxed structure of AcPu4Ge4 from the Alexandria database. Energies are from PBE.

Calculated values
ρ: 10.5 g/cm3
total energy: -9.1181 eV per atom

Cell lengths 5.5034, 9.2807, 9.2807 Å; angles 90.00, 90.00, 90.00 degrees
With the nearest neighbours (Å) after each atom.
Positions (direct):
Ge: 0.1213 0.7407 0.6353  1 Ge 2.56
Ge: 0.8787 0.6353 0.2593  1 Ge 2.56
Ac: 0.0000 0.0000 0.0000  4 Ge 3.30, 4 Pu 3.55
Ge: 0.1213 0.2593 0.3647  1 Ge 2.56
Pu: 0.8694 0.3621 0.0974  4 Ge 2.95-3.04, 1 Pu 3.13
Pu: 0.1306 0.0974 0.6379  4 Ge 2.95-3.04, 1 Pu 3.13
Pu: 0.6306 0.1379 0.4026  4 Ge 2.95-3.04, 1 Pu 3.13
Pu: 0.6306 0.8621 0.5974  4 Ge 2.95-3.04, 1 Pu 3.13
Ge: 0.3787 0.7593 0.8647  1 Ge 2.56
Pu: 0.1306 0.9026 0.3621  4 Ge 2.95-3.04, 1 Pu 3.13
Ge: 0.3787 0.2407 0.1353  1 Ge 2.56
Pu: 0.8694 0.6379 0.9026  4 Ge 2.95-3.04, 1 Pu 3.13
Pu: 0.3694 0.5974 0.1379  4 Ge 2.95-3.04, 1 Pu 3.13
Pu: 0.3694 0.4026 0.8621  4 Ge 2.95-3.04, 1 Pu 3.13
Ac: 0.5000 0.5000 0.5000  4 Ge 3.30, 4 Pu 3.55
Ge: 0.6213 0.1353 0.7593  1 Ge 2.56
Ge: 0.6213 0.8647 0.2407  1 Ge 2.56
Ge: 0.8787 0.3647 0.7407  1 Ge 2.56

10.
Here is a relaxed structure of Ac3Pu4Ge4 from the Alexandria database. Energies are from PBE.

Calculated values
ρ: 10.1 g/cm3
total energy: -8.4288 eV per atom

Cell lengths 4.4348, 8.8182, 9.5533 Å; angles 117.49, 103.42, 90.00 degrees
With the nearest neighbours (Å) after each atom.
Positions (direct):
Ac: 0.1077 0.1077 0.2155  6 Ge 3.29-3.45, 1 Ac 3.53
Ge: 0.7562 0.2562 0.5124  6 Pu 2.97-3.04, 2 Ac 3.29
Ac: 0.0000 0.5000 0.0000  4 Ge 3.29
Pu: 0.3221 0.1349 0.6441  4 Ge 2.97-3.04, 1 Pu 3.30
Ge: 0.2438 0.7438 0.4876  6 Pu 2.97-3.04, 2 Ac 3.29
Pu: 0.6779 0.8651 0.3559  4 Ge 2.97-3.04, 1 Pu 3.30
Ac: 0.8923 0.8923 0.7845  6 Ge 3.29-3.45, 1 Ac 3.53
Ge: 0.5000 0.7760 0.0000  2 Pu 3.01, 2 Ac 3.29
Ge: 0.5000 0.2240 0.0000  2 Pu 3.01, 2 Ac 3.29
Pu: 0.3221 0.5093 0.6441  4 Ge 2.97-3.04, 1 Pu 3.30
Pu: 0.6779 0.4907 0.3559  4 Ge 2.97-3.04, 1 Pu 3.30